# Sm5Pu3Te8 | the Alexandria database | PBE | optimized geometry
data_Sm5Pu3Te8
_chemical_formula_sum 'Sm15 Pu9 Te24'
_cell_length_a 8.8443
_cell_length_b 8.8443
_cell_length_c 21.8936
_cell_angle_alpha 90.00
_cell_angle_beta 90.00
_cell_angle_gamma 120.00
_space_group_name_H-M_alt 'R -3 m'
_space_group_IT_number 166
_space_group_name_Hall '-R 3 2"'
loop_
_atom_site_label
_atom_site_fract_x
_atom_site_fract_y
_atom_site_fract_z
Sm1 0.0000 0.0000 0.0000
Sm2 0.0000 0.0000 0.5000
Sm3 0.0000 0.5000 0.0000
Pu1 0.0000 0.5000 0.5000
Te1 0.0000 0.0000 0.2493
Te2 0.0009 0.5005 0.7504
# uncorrected formation energy	-1.295	eV per atom
# uncorrected energy	-7.028	eV/atom
# theoretical density	8.41	g/cm³